{
  "formula": "CdAu2Br",
  "functional": "GGA-PBE",
  "state": "optimized geometry",
  "cell": [[3.957, 0.000, 0.000], [0.000, 3.957, 0.000], [0.000, 0.000, 5.864]],
  "species": ["Au", "Au", "Br", "Cd"],
  "frac_coords": [[0.000, 0.000, 0.000], [0.500, 0.500, 0.000], [0.500, 0.000, 0.500], [0.000, 0.500, 0.500]],
  "de_polymorph_mev_per_atom": 181,
  "e_form_raw_ev_per_atom": 0.057,
  "magnetic_moment_mub_per_fu": 0.0
}

---

{
  "formula": "CdAuBr",
  "functional": "GGA-PBE",
  "state": "optimized geometry",
  "cell": [[-1.818, 2.351, 2.343], [-1.900, -2.030, -2.494], [-1.178, -9.574, 8.692]],
  "species": ["Cd", "Cd", "Au", "Au", "Br", "Br"],
  "frac_coords": [[0.521, 0.042, 0.000], [0.369, 0.737, 0.500], [0.704, 0.408, 0.363], [0.704, 0.408, 0.637], [0.185, 0.369, 0.861], [0.185, 0.369, 0.139]],
  "de_polymorph_mev_per_atom": 95,
  "e_form_raw_ev_per_atom": -0.129,
  "magnetic_moment_mub_per_fu": 0.0
}

---

{
  "formula": "Cs2CdAuBr",
  "functional": "GGA-PBE",
  "state": "optimized geometry",
  "cell": [[-1.532, 6.599, 0.548], [-6.609, -1.558, 0.287], [0.320, -0.371, 5.356]],
  "species": ["Cs", "Cs", "Au", "Br", "Cd"],
  "frac_coords": [[0.000, 0.500, 0.000], [0.500, 0.000, 0.000], [0.000, 0.000, 0.000], [0.500, 0.500, 0.500], [0.000, 0.000, 0.500]],
  "de_polymorph_mev_per_atom": 144,
  "e_form_raw_ev_per_atom": -0.697,
  "magnetic_moment_mub_per_fu": 0.0
}

---

{
  "formula": "Cs2CdAuBr6",
  "functional": "GGA-PBE",
  "state": "optimized geometry",
  "cell": [[7.991, 0.000, 0.000], [0.000, 7.991, 0.000], [3.995, 3.995, 5.579]],
  "species": ["Cs", "Cs", "Au", "Br", "Br", "Br", "Br", "Br", "Br", "Cd"],
  "frac_coords": [[0.750, 0.250, 0.500], [0.250, 0.750, 0.500], [0.000, 0.000, 0.000], [0.225, 0.225, 0.550], [0.775, 0.775, 0.450], [0.260, 0.260, 0.000], [0.740, 0.740, 0.000], [0.740, 0.260, 0.000], [0.260, 0.740, 0.000], [0.500, 0.500, 0.000]],
  "e_form_raw_ev_per_atom": -0.994,
  "magnetic_moment_mub_per_fu": 0.0
}

---

> What is the formula in the fourth record?

Cs2CdAuBr6